# Ba2CaCuNi2F14

A relaxed structure of Ba2CaCuNi2F14 (PBE with a Hubbard U, the Alexandria database).

Lattice parameters (Å, degrees): 5.3948 7.3836 14.9197 91.56 90.54 111.19
Atoms (fractional coordinates):
Ba (0.0000, 0.0000, 0.0000)
Ba (0.1028, 0.0206, 0.4860)
Ba (0.6352, 0.2121, 0.2551)
Ba (0.7461, 0.2319, 0.7391)
Ca (0.2913, 0.6213, 0.1239)
Ca (0.4528, 0.6143, 0.6162)
Cu (0.3703, 0.6161, 0.3700)
Cu (0.3714, 0.6123, 0.8702)
Ni (0.0171, 0.8604, 0.7448)
Ni (0.7225, 0.3702, 0.9949)
Ni (0.7741, 0.3969, 0.4944)
Ni (0.9668, 0.8356, 0.2457)
F (0.0411, 0.3646, 0.5797)
F (0.0723, 0.1020, 0.2953)
F (0.1907, 0.7795, 0.8540)
F (0.2109, 0.1121, 0.7743)
F (0.2378, 0.9292, 0.1470)
F (0.2662, 0.5051, 0.7574)
F (0.2810, 0.8576, 0.6682)
F (0.2883, 0.8328, 0.3229)
F (0.3675, 0.7347, 0.4857)
F (0.3729, 0.4978, 0.2543)
F (0.4475, 0.3713, 0.0715)
F (0.4526, 0.3991, 0.4170)
F (0.4826, 0.7208, 0.9823)
F (0.5054, 0.3056, 0.5938)
F (0.5256, 0.1112, 0.9621)
F (0.5576, 0.4463, 0.8859)
F (0.6673, 0.1303, 0.4455)
F (0.7014, 0.8684, 0.1599)
F (0.7412, 0.7690, 0.3565)
F (0.7674, 0.8826, 0.8246)
F (0.8061, 0.6096, 0.7180)
F (0.8227, 0.9423, 0.6475)
F (0.8287, 0.6593, 0.5334)
F (0.9042, 0.2873, 0.0906)
F (0.9118, 0.5728, 0.2054)
F (0.9472, 0.6255, 0.0203)
F (0.9804, 0.3404, 0.9130)
F (0.9992, 0.4629, 0.3835)

Space-group type: P1 (1)
Total magnetization, Bohr magnetons per cell: 10.015

=====

# Ba4CaV4Cu2F28

A relaxed structure of Ba4CaV4Cu2F28 (PBE with a Hubbard U, the Alexandria database).

Lattice parameters (Å, degrees): 7.6044 7.6044 15.1915 91.60 91.60 42.08
Atoms (fractional coordinates):
Ba (0.0272, 0.3429, 0.8764)
Ba (0.1779, 0.1779, 0.3760)
Ba (0.6571, 0.9728, 0.1236)
Ba (0.8221, 0.8221, 0.6240)
Ca (0.3437, 0.6563, 0.0000)
V (0.0234, 0.2233, 0.1238)
V (0.0942, 0.1590, 0.6284)
V (0.7767, 0.9766, 0.8762)
V (0.8410, 0.9058, 0.3716)
Cu (0.4254, 0.5631, 0.7489)
Cu (0.4369, 0.5746, 0.2511)
F (0.0103, 0.0011, 0.9035)
F (0.0284, 0.6727, 0.7963)
F (0.0657, 0.7747, 0.2701)
F (0.0667, 0.4418, 0.1428)
F (0.1008, 0.6250, 0.4443)
F (0.2253, 0.9343, 0.7299)
F (0.2839, 0.0350, 0.0250)
F (0.2954, 0.1988, 0.6722)
F (0.3056, 0.5664, 0.6408)
F (0.3273, 0.9716, 0.2037)
F (0.3750, 0.8992, 0.5557)
F (0.4336, 0.6944, 0.3592)
F (0.4396, 0.4626, 0.1370)
F (0.5155, 0.2530, 0.9638)
F (0.5374, 0.5604, 0.8630)
F (0.5436, 0.1723, 0.2949)
F (0.5582, 0.9333, 0.8572)
F (0.5974, 0.0381, 0.4622)
F (0.6360, 0.1934, 0.7664)
F (0.7470, 0.4845, 0.0362)
F (0.8012, 0.7046, 0.3278)
F (0.8066, 0.3640, 0.2336)
F (0.8277, 0.4564, 0.7051)
F (0.8688, 0.1156, 0.4026)
F (0.8844, 0.1312, 0.5974)
F (0.9619, 0.4026, 0.5378)
F (0.9650, 0.7161, 0.9750)
F (0.9989, 0.9897, 0.0965)

Space-group type: C2 (5)
Total magnetization, Bohr magnetons per cell: 8.005

=====

Record order is preserved below.
E: -4.781, -5.609 eV/atom